(1)
Computed, not measured: crystalline Ba2Mg3HgPb4 at its relaxed geometry at the PBE level of DFT.

## Properties
uncorrected energy = -0.100 Ha/atom
magnetization = 0.00 μB/f.u.
DOS at the Fermi energy = 1.00 states/eV/f.u.
formation energy from the elements = -0.3469 eV/atom

a = 5.012 Å, b = 5.012 Å, c = 12.513 Å
α = 90.00°, β = 90.00°, γ = 90.00°
Element x y z (fractional)
Ba  0.500  0.000  0.255
Ba  0.000  0.500  0.745
Mg  0.000  0.000  0.500
Mg  0.500  0.000  0.867
Mg  0.000  0.500  0.133
Hg  0.500  0.500  0.500
Pb  0.500  0.500  0.000
Pb  0.000  0.000  0.000
Pb  0.500  0.000  0.637
Pb  0.000  0.500  0.363

=====

(2)
Computed, not measured: crystalline Ba2Mg4HgPb3 at its relaxed geometry at the PBE level of DFT.

## Properties
uncorrected energy = -0.093 Ha/atom
magnetization = 0.00 μB/f.u.
DOS at the Fermi energy = 4.07 states/eV/f.u.
formation energy from the elements = -0.3656 eV/atom

a = 4.959 Å, b = 4.959 Å, c = 12.413 Å
α = 90.00°, β = 90.00°, γ = 90.00°
Element x y z (fractional)
Ba  0.500  0.000  0.251
Ba  0.000  0.500  0.749
Mg  0.500  0.500  0.000
Mg  0.000  0.000  0.000
Mg  0.500  0.000  0.628
Mg  0.000  0.500  0.372
Hg  0.500  0.500  0.500
Pb  0.000  0.000  0.500
Pb  0.500  0.000  0.862
Pb  0.000  0.500  0.138

=====

(3)
Computed, not measured: crystalline Ba2MgHgPt at its relaxed geometry at the PBE level of DFT.

## Properties
uncorrected energy = -0.105 Ha/atom
magnetization = 0.00 μB/f.u.
DOS at the Fermi energy = 2.70 states/eV/f.u.
formation energy from the elements = -0.4999 eV/atom

a = 6.140 Å, b = 6.140 Å, c = 5.124 Å
α = 90.00°, β = 90.00°, γ = 90.00°
Element x y z (fractional)
Mg  0.000  0.000  0.500
Hg  0.500  0.500  0.500
Pt  0.000  0.000  0.000
Ba  0.000  0.500  0.000
Ba  0.500  0.000  0.000

=====

(4)
Computed, not measured: crystalline BaMg2HgRh at its relaxed geometry at the PBE level of DFT.

## Properties
uncorrected energy = -0.105 Ha/atom
magnetization = 0.00 μB/f.u.
DOS at the Fermi energy = 2.09 states/eV/f.u.
formation energy from the elements = -0.3085 eV/atom

a = 5.040 Å, b = 5.040 Å, c = 5.437 Å
α = 90.00°, β = 90.00°, γ = 90.00°
Element x y z (fractional)
Mg  0.000  0.500  0.000
Mg  0.500  0.000  0.000
Rh  0.000  0.000  0.000
Hg  0.000  0.000  0.500
Ba  0.500  0.500  0.500

=====

(5)
Computed, not measured: crystalline BaMgHg2Rh at its relaxed geometry at the PBE level of DFT.

## Properties
uncorrected energy = -0.096 Ha/atom
magnetization = 0.00 μB/f.u.
DOS at the Fermi energy = 3.13 states/eV/f.u.
formation energy from the elements = -0.3098 eV/atom

a = 5.358 Å, b = 5.358 Å, c = 4.947 Å
α = 90.00°, β = 90.00°, γ = 90.00°
Element x y z (fractional)
Mg  0.000  0.000  0.500
Rh  0.000  0.000  0.000
Hg  0.000  0.500  0.000
Hg  0.500  0.000  0.000
Ba  0.500  0.500  0.500

=====

(6)
Computed, not measured: crystalline Ba2MgHgRh at its relaxed geometry at the PBE level of DFT.

## Properties
uncorrected energy = -0.106 Ha/atom
magnetization = 0.00 μB/f.u.
DOS at the Fermi energy = 3.57 states/eV/f.u.
formation energy from the elements = -0.2601 eV/atom

a = 6.027 Å, b = 6.027 Å, c = 5.057 Å
α = 90.00°, β = 90.00°, γ = 90.00°
Element x y z (fractional)
Mg  0.000  0.000  0.500
Rh  0.000  0.000  0.000
Hg  0.500  0.500  0.500
Ba  0.000  0.500  0.000
Ba  0.500  0.000  0.000

=====

(7)
Computed, not measured: crystalline BaMgHgRu2 at its relaxed geometry at the PBE level of DFT.

## Properties
uncorrected energy = -0.093 Ha/atom
magnetization = 2.36 μB/f.u.
DOS at the Fermi energy = 4.64 states/eV/f.u.
formation energy from the elements = 1.9423 eV/atom

a = 5.124 Å, b = 6.049 Å, c = 5.124 Å
α = 90.00°, β = 90.00°, γ = 90.00°
Last column: magnetic moment on the atom in μB.
Element x y z (fractional)
Ru  0.000  0.000  0.500  1.11
Ru  0.500  0.000  0.000  1.27
Mg  0.000  0.500  0.000  -0.01
Hg  0.500  0.500  0.500  0.03
Ba  0.000  0.000  0.000  -0.09

=====

(8)
Computed, not measured: crystalline Ba2MgHg6Sb at its relaxed geometry at the PBE level of DFT.

## Properties
uncorrected energy = -0.055 Ha/atom
magnetization = 0.00 μB/f.u.
DOS at the Fermi energy = 4.11 states/eV/f.u.
ΔE_f (raw) = -0.3655 eV per atom

a = 8.287 Å, b = 8.689 Å, c = 10.492 Å
α = 41.50°, β = 49.67°, γ = 79.46°
Element x y z (fractional)
Ba  0.365  0.776  0.407
Ba  0.635  0.224  0.593
Mg  0.500  0.500  0.000
Hg  0.247  0.753  0.831
Hg  0.879  0.845  0.809
Hg  0.196  0.438  0.404
Hg  0.753  0.247  0.169
Hg  0.121  0.155  0.191
Hg  0.804  0.562  0.596
Sb  0.000  0.000  0.000

=====

(9)
Computed, not measured: crystalline Ba2Mg12ScHg3 at its relaxed geometry at the PBE level of DFT.

## Properties
uncorrected energy = -0.058 Ha/atom
magnetization = 0.00 μB/f.u.
DOS at the Fermi energy = 10.07 states/eV/f.u.
formation energy from the elements = 0.1019 eV/atom

a = 9.612 Å, b = 9.612 Å, c = 9.612 Å
α = 54.76°, β = 54.76°, γ = 54.76°
Element x y z (fractional)
Ba  0.581  0.581  0.581
Ba  0.419  0.419  0.419
Mg  0.215  0.215  0.872
Mg  0.831  0.831  0.448
Mg  0.448  0.831  0.831
Mg  0.872  0.215  0.215
Mg  0.831  0.448  0.831
Mg  0.215  0.872  0.215
Mg  0.785  0.785  0.128
Mg  0.169  0.169  0.552
Mg  0.552  0.169  0.169
Mg  0.128  0.785  0.785
Mg  0.169  0.552  0.169
Mg  0.785  0.128  0.785
Sc  0.000  0.000  0.000
Hg  0.500  0.000  0.000
Hg  0.000  0.500  0.000
Hg  0.000  0.000  0.500

=====

(10)
Computed, not measured: crystalline Ba2MgHgSe at its relaxed geometry at the PBE level of DFT.

## Properties
uncorrected energy = -0.078 Ha/atom
magnetization = 0.00 μB/f.u.
DOS at the Fermi energy = 5.09 states/eV/f.u.
ΔE_f (raw) = -0.2870 eV per atom

a = 6.441 Å, b = 5.045 Å, c = 6.441 Å
α = 90.00°, β = 90.00°, γ = 90.00°
Element x y z (fractional)
Mg  0.000  0.000  0.000
Hg  0.000  0.500  0.000
Se  0.500  0.500  0.500
Ba  0.000  0.000  0.500
Ba  0.500  0.000  0.000

=====

(11)
Computed, not measured: crystalline BaMg2HgSe4 at its relaxed geometry at the PBE level of DFT.

## Properties
uncorrected energy = -0.127 Ha/atom
magnetization = 0.00 μB/f.u.
ΔE_f (raw) = -1.0395 eV per atom

a = 4.139 Å, b = 7.349 Å, c = 14.723 Å
α = 90.00°, β = 90.00°, γ = 106.36°
Element x y z (fractional)
Ba  0.141  0.283  0.750
Ba  0.859  0.717  0.250
Mg  0.379  0.759  0.547
Mg  0.621  0.241  0.047
Mg  0.621  0.241  0.453
Mg  0.379  0.759  0.953
Hg  0.856  0.712  0.750
Hg  0.144  0.288  0.250
Se  0.249  0.498  0.101
Se  0.751  0.502  0.601
Se  0.751  0.502  0.899
Se  0.249  0.498  0.399
Se  0.000  0.000  0.500
Se  0.000  0.000  0.000
Se  0.470  0.940  0.750
Se  0.530  0.060  0.250

=====

(12)
Computed, not measured: crystalline Ba2MgSiHg at its relaxed geometry at the PBE level of DFT.

## Properties
uncorrected energy = -0.074 Ha/atom
magnetization = 0.10 μB/f.u.
DOS at the Fermi energy = 7.12 states/eV/f.u.
ΔE_f (raw) = 0.2158 eV per atom

a = 6.363 Å, b = 6.363 Å, c = 5.180 Å
α = 90.00°, β = 90.00°, γ = 90.00°
Element x y z (fractional)
Mg  0.000  0.000  0.500
Si  0.500  0.500  0.500
Hg  0.000  0.000  0.000
Ba  0.000  0.500  0.000
Ba  0.500  0.000  0.000

=====

(13)
Computed, not measured: crystalline BaSmMg2Hg4 at its relaxed geometry at the PBE level of DFT.

## Properties
uncorrected energy = -0.066 Ha/atom
magnetization = 0.00 μB/f.u.
DOS at the Fermi energy = 4.25 states/eV/f.u.
formation energy from the elements = -0.4064 eV/atom

a = 5.150 Å, b = 5.150 Å, c = 9.907 Å
α = 74.93°, β = 74.93°, γ = 60.00°
Element x y z (fractional)
Ba  0.000  0.000  0.000
Sm  0.500  0.500  0.500
Mg  0.761  0.761  0.716
Mg  0.239  0.239  0.284
Hg  0.390  0.390  0.830
Hg  0.874  0.874  0.378
Hg  0.126  0.126  0.622
Hg  0.610  0.610  0.170

=====

(14)
Computed, not measured: crystalline BaMgSn2Hg4 at its relaxed geometry at the PBE level of DFT.

## Properties
uncorrected energy = -0.067 Ha/atom
magnetization = 0.00 μB/f.u.
DOS at the Fermi energy = 5.90 states/eV/f.u.
formation energy from the elements = -0.2375 eV/atom

a = 5.134 Å, b = 5.134 Å, c = 10.158 Å
α = 75.36°, β = 75.36°, γ = 60.00°
Element x y z (fractional)
Ba  0.000  0.000  0.000
Mg  0.500  0.500  0.500
Sn  0.761  0.761  0.717
Sn  0.239  0.239  0.283
Hg  0.394  0.394  0.819
Hg  0.869  0.869  0.392
Hg  0.131  0.131  0.608
Hg  0.606  0.606  0.181

=====

(15)
Computed, not measured: crystalline Ba2Mg4Sn3Hg at its relaxed geometry at the PBE level of DFT.

## Properties
uncorrected energy = -0.100 Ha/atom
magnetization = 0.00 μB/f.u.
DOS at the Fermi energy = 3.10 states/eV/f.u.
formation energy from the elements = -0.4544 eV/atom

a = 4.873 Å, b = 4.873 Å, c = 12.349 Å
α = 90.00°, β = 90.00°, γ = 90.00°
Element x y z (fractional)
Ba  0.500  0.000  0.249
Ba  0.000  0.500  0.751
Mg  0.500  0.500  0.000
Mg  0.000  0.000  0.000
Mg  0.500  0.000  0.632
Mg  0.000  0.500  0.368
Sn  0.000  0.000  0.500
Sn  0.500  0.000  0.863
Sn  0.000  0.500  0.137
Hg  0.500  0.500  0.500

=====

(16)
Computed, not measured: crystalline Ba2MgSn4Hg3 at its relaxed geometry at the PBE level of DFT.

## Properties
uncorrected energy = -0.097 Ha/atom
magnetization = 0.00 μB/f.u.
DOS at the Fermi energy = 2.95 states/eV/f.u.
formation energy from the elements = -0.4171 eV/atom

a = 4.946 Å, b = 4.946 Å, c = 12.347 Å
α = 90.00°, β = 90.00°, γ = 90.00°
Element x y z (fractional)
Ba  0.500  0.000  0.251
Ba  0.000  0.500  0.749
Mg  0.500  0.500  0.500
Sn  0.500  0.500  0.000
Sn  0.000  0.000  0.000
Sn  0.500  0.000  0.632
Sn  0.000  0.500  0.368
Hg  0.000  0.000  0.500
Hg  0.500  0.000  0.861
Hg  0.000  0.500  0.139

=====

(17)
Computed, not measured: crystalline BaMgSnHg2 at its relaxed geometry at the PBE level of DFT.

## Properties
uncorrected energy = -0.069 Ha/atom
magnetization = 0.00 μB/f.u.
DOS at the Fermi energy = 3.32 states/eV/f.u.
relative energy among the computed polymorphs = 173.6 meV/atom
formation energy from the elements = -0.2439 eV/atom

a = 5.433 Å, b = 5.433 Å, c = 5.536 Å
α = 90.00°, β = 90.00°, γ = 90.00°
Element x y z (fractional)
Mg  0.000  0.000  0.000
Hg  0.000  0.500  0.000
Hg  0.500  0.000  0.000
Sn  0.000  0.000  0.500
Ba  0.500  0.500  0.500

=====

(18)
Computed, not measured: crystalline Ba2MgSnHg at its relaxed geometry at the PBE level of DFT.

## Properties
uncorrected energy = -0.076 Ha/atom
magnetization = 0.00 μB/f.u.
DOS at the Fermi energy = 6.28 states/eV/f.u.
formation energy from the elements = -0.1085 eV/atom

a = 6.424 Å, b = 5.220 Å, c = 6.424 Å
α = 90.00°, β = 90.00°, γ = 90.00°
Element x y z (fractional)
Mg  0.000  0.500  0.000
Hg  0.000  0.000  0.000
Sn  0.500  0.500  0.500
Ba  0.000  0.000  0.500
Ba  0.500  0.000  0.000

=====

(19)
Computed, not measured: crystalline BaMg2Sn2Hg at its relaxed geometry at the PBE level of DFT.

## Properties
uncorrected energy = -0.091 Ha/atom
magnetization = 0.00 μB/f.u.
DOS at the Fermi energy = 1.20 states/eV/f.u.
formation energy from the elements = -0.2443 eV/atom

a = 5.319 Å, b = 7.791 Å, c = 9.204 Å
α = 90.00°, β = 90.00°, γ = 90.00°
Element x y z (fractional)
Ba  0.500  0.500  0.000
Ba  0.000  0.000  0.500
Mg  0.500  0.180  0.301
Mg  0.000  0.680  0.199
Mg  0.500  0.820  0.699
Mg  0.000  0.320  0.801
Sn  0.500  0.789  0.308
Sn  0.500  0.211  0.692
Sn  0.000  0.711  0.808
Sn  0.000  0.289  0.192
Hg  0.000  0.000  0.000
Hg  0.500  0.500  0.500

=====

(20)
Computed, not measured: crystalline Ba2MgSn3Hg4 at its relaxed geometry at the PBE level of DFT.

## Properties
uncorrected energy = -0.083 Ha/atom
magnetization = 0.00 μB/f.u.
DOS at the Fermi energy = 3.69 states/eV/f.u.
formation energy from the elements = -0.4000 eV/atom

a = 4.906 Å, b = 4.906 Å, c = 12.388 Å
α = 90.00°, β = 90.00°, γ = 90.00°
Element x y z (fractional)
Ba  0.500  0.000  0.237
Ba  0.000  0.500  0.763
Mg  0.500  0.500  0.500
Sn  0.000  0.000  0.500
Sn  0.500  0.000  0.865
Sn  0.000  0.500  0.135
Hg  0.500  0.500  0.000
Hg  0.000  0.000  0.000
Hg  0.500  0.000  0.633
Hg  0.000  0.500  0.367